The following is a GGA-PBE calculation of a relaxed structure of SrAsRu2, from the Alexandria database.

Values from the calculation:
For the raw total energy, the calculation gives -5.780 eV/atom. The value obtained for the volume is 17.7 A^3/atom. The energy of formation comes out at 0.441 eV per atom. Its mass density is 8.572 Mg/m³. The value obtained for the total magnetization is 0.00 Bohr magnetons per cell.

Unit cell a=4.350 b=4.350 c=3.733 alpha=90.00 beta=90.00 gamma=90.00
Fractional coordinates of all 4 atoms:
Sr: 0.000 0.000 0.000
As: 0.500 0.500 0.000
Ru: 0.000 0.500 0.500
Ru: 0.500 0.000 0.500

***

The following is a GGA-PBE calculation of a relaxed structure of ScBeMo2, from the Alexandria database.

Values from the calculation:
For the raw total energy, the calculation gives -7.847 eV/atom. The value obtained for the volume is 15.5 A^3/atom. The energy of formation comes out at 0.083 eV per atom. Its mass density is 6.603 Mg/m³. The value obtained for the total magnetization is 0.00 Bohr magnetons per cell.

Unit cell a=6.277 b=6.277 c=6.277 alpha=90.00 beta=90.00 gamma=90.00
Fractional coordinates of all 16 atoms:
Sc: 0.000 0.000 0.000
Sc: 0.000 0.500 0.500
Sc: 0.500 0.000 0.500
Sc: 0.500 0.500 0.000
Be: 0.250 0.250 0.250
Be: 0.250 0.750 0.750
Be: 0.750 0.250 0.750
Be: 0.750 0.750 0.250
Mo: 0.000 0.000 0.500
Mo: 0.000 0.500 0.000
Mo: 0.250 0.250 0.750
Mo: 0.250 0.750 0.250
Mo: 0.500 0.000 0.000
Mo: 0.500 0.500 0.500
Mo: 0.750 0.250 0.250
Mo: 0.750 0.750 0.750

***

The following is a GGA-PBE calculation of a relaxed structure of Nb3CoBr, from the Alexandria database.

Values from the calculation:
The raw formation energy is 4.5 eV per formula unit. For the raw total energy, the calculation gives -6.906 eV/atom. The value obtained for the volume is 20.6 A^3/atom. Its mass density is 6.745 Mg/m³. The value obtained for the total magnetization is 0.00 Bohr magnetons per cell. The energy above the lowest structure with this stoichiometry comes out at 0 meV/atom.

Unit cell a=4.685 b=4.685 c=4.685 alpha=90.00 beta=90.00 gamma=90.00
Fractional coordinates of all 5 atoms:
Nb: 0.000 0.000 0.500
Nb: 0.000 0.500 0.000
Nb: 0.500 0.000 0.000
Co: 0.000 0.000 0.000
Br: 0.500 0.500 0.500

***

The following is a GGA-PBE calculation of a relaxed structure of InCo2Ru, from the Alexandria database.

Values from the calculation:
For the raw total energy, the calculation gives -6.315 eV/atom. The value obtained for the volume is 14.1 A^3/atom. The energy of formation comes out at 0.242 eV per atom. Its mass density is 9.821 Mg/m³. The value obtained for the total magnetization is 8.37 Bohr magnetons per cell.

Unit cell a=3.069 b=4.291 c=8.571 alpha=90.00 beta=90.00 gamma=90.00
Fractional coordinates of all 8 atoms:
In: 0.000 0.000 0.000
In: 0.500 0.500 0.500
Co: 0.000 0.000 0.518
Co: 0.000 0.500 0.244
Co: 0.500 0.000 0.744
Co: 0.500 0.500 0.018
Ru: 0.000 0.500 0.769
Ru: 0.500 0.000 0.269

***

Q: Among the records above, which one has the highest raw total energy?
A: SrAsRu2

***

Please write out number 3 again, unchanged.
The following is a GGA-PBE calculation of a relaxed structure of Nb3CoBr, from the Alexandria database.

Values from the calculation:
The raw formation energy is 4.5 eV per formula unit. For the raw total energy, the calculation gives -6.906 eV/atom. The value obtained for the volume is 20.6 A^3/atom. Its mass density is 6.745 Mg/m³. The value obtained for the total magnetization is 0.00 Bohr magnetons per cell. The energy above the lowest structure with this stoichiometry comes out at 0 meV/atom.

Unit cell a=4.685 b=4.685 c=4.685 alpha=90.00 beta=90.00 gamma=90.00
Fractional coordinates of all 5 atoms:
Nb: 0.000 0.000 0.500
Nb: 0.000 0.500 0.000
Nb: 0.500 0.000 0.000
Co: 0.000 0.000 0.000
Br: 0.500 0.500 0.500